Record 1
The following is a PBE calculation of a relaxed structure of AcYbCd2, from Alexandria.

```
AcYbCd2
1.0
-5.359 -1.547 0.350
-1.561 -3.842 3.747
-3.058 1.499 4.432
Ac Yb Cd
1 1 2
Direct
0.500 0.500 0.500
0.000 0.000 0.000
0.750 0.750 0.750
0.250 0.250 0.250
```

Calculated formation energy ... -365 meV per atom
Magnetic moment ... 0.25 μB per formula unit
DFT total energy ... -2.231 eV per atom

***

Record 2
The following is a PBE calculation of a relaxed structure of La4ZnAu, from Alexandria.

```
La4ZnAu
1.0
-4.656 -5.114 1.711
5.590 -5.318 -0.681
2.078 1.275 7.099
La Zn Au
8 2 2
Direct
0.876 0.656 0.148
0.624 0.156 0.852
0.330 0.339 0.332
0.170 0.839 0.668
0.124 0.344 0.852
0.376 0.844 0.148
0.670 0.661 0.668
0.830 0.161 0.332
0.000 0.000 0.000
0.500 0.500 0.000
0.500 0.000 0.500
0.000 0.500 0.500
```

Calculated formation energy ... -200 meV per atom
Magnetic moment ... 0.00 μB per formula unit
DFT total energy ... -4.244 eV per atom

***

Record 3
The following is a PBE calculation of a relaxed structure of AlIn2Bi2, from Alexandria.

```
AlIn2Bi2
1.0
8.402 0.000 0.000
0.000 8.402 0.000
0.000 0.000 4.226
Al Bi In
2 4 4
Direct
0.000 0.000 0.000
0.500 0.500 0.000
0.345 0.845 0.000
0.845 0.655 0.000
0.655 0.155 0.000
0.155 0.345 0.000
0.148 0.648 0.500
0.648 0.852 0.500
0.852 0.352 0.500
0.352 0.148 0.500
```

Calculated formation energy ... 239 meV per atom
Magnetic moment ... 0.00 μB per formula unit
DFT total energy ... -3.157 eV per atom

***

Record 4
The following is a PBE calculation of a relaxed structure of TlPt2Pb, from Alexandria.

```
TlPt2Pb
1.0
3.881 0.000 0.000
0.000 3.878 0.000
0.000 0.000 5.661
Pb Pt Tl
1 2 1
Direct
0.500 0.500 0.805
0.000 0.000 0.955
0.500 0.500 0.297
0.000 0.000 0.444
```

Calculated formation energy ... 1 meV per atom
Magnetic moment ... 0.00 μB per formula unit
DFT total energy ... -4.538 eV per atom

***

Record 5
The following is a PBE calculation of a relaxed structure of SrPaTcN3, from Alexandria.

```
SrPaTcN3
1.0
-2.854 -1.501 1.187
0.876 -5.722 -5.126
3.995 -2.796 6.069
Sr Pa Tc N
2 2 2 6
Direct
0.750 0.821 0.798
0.250 0.179 0.202
0.250 0.649 0.168
0.750 0.351 0.832
0.250 0.093 0.589
0.750 0.907 0.411
0.250 0.816 0.535
0.750 0.849 0.144
0.750 0.444 0.124
0.750 0.184 0.465
0.250 0.556 0.876
0.250 0.151 0.856
```

E_form (uncorrected) ... -82 kJ/mol of atoms
Magnetic moment ... 0.00 μB per formula unit
DFT total energy ... -8.600 eV per atom

***

Record 6
The following is a PBE calculation of a relaxed structure of Sn2Pd5S, from Alexandria.

```
Sn2Pd5S
1.0
3.712 0.000 0.000
-1.856 7.511 0.000
0.000 0.000 12.293
Sn Pd S
4 10 2
Direct
0.873 0.746 0.413
0.873 0.746 0.087
0.127 0.254 0.587
0.127 0.254 0.913
0.955 0.910 0.893
0.955 0.910 0.607
0.241 0.483 0.415
0.241 0.483 0.085
0.749 0.499 0.250
0.251 0.501 0.750
0.759 0.517 0.585
0.759 0.517 0.915
0.045 0.090 0.107
0.045 0.090 0.393
0.855 0.709 0.750
0.145 0.291 0.250
```

E_form (uncorrected) ... -21 kJ/mol of atoms
Magnetic moment ... 0.00 μB per formula unit
DFT total energy ... -4.979 eV per atom